[1]
A plane-wave DFT calculation with SCAN was carried out for a crystal of InCuW2 relaxed with PBEsol.

The structure in CIF format:
```
data_InCuW2
_symmetry_space_group_name_H-M 'I 4/m m m'
_symmetry_Int_Tables_number 139
_symmetry_space_group_name_Hall '-I 4 2'
_cell_length_a 3.7759
_cell_length_b 3.7759
_cell_length_c 8.8038
_cell_angle_alpha 90.00
_cell_angle_beta 90.00
_cell_angle_gamma 90.00
loop_
_atom_site_label
_atom_site_type_symbol
_atom_site_fract_x
_atom_site_fract_y
_atom_site_fract_z
_atom_site_occupancy
In1 In 0.0000 0.0000 0.0000 1
Cu1 Cu 0.0000 0.0000 0.5000 1
W1 W 0.0000 0.5000 0.2500 1
```

Calculated values
Density, Mg/m³: 14.4
Volume, Å³/cell: 126
E_form, eV/atom: 0.4818
Total magnetic moment, μB/f.u.: 0.000


[2]
A plane-wave DFT calculation with SCAN was carried out for a crystal of Zn4MoAu relaxed with PBEsol.

The structure in CIF format:
```
data_Zn4MoAu
_symmetry_space_group_name_H-M 'F -4 3 m'
_symmetry_Int_Tables_number 216
_symmetry_space_group_name_Hall 'F -4 2 3'
_cell_length_a 6.9823
_cell_length_b 6.9823
_cell_length_c 6.9823
_cell_angle_alpha 90.00
_cell_angle_beta 90.00
_cell_angle_gamma 90.00
loop_
_atom_site_label
_atom_site_type_symbol
_atom_site_fract_x
_atom_site_fract_y
_atom_site_fract_z
_atom_site_occupancy
Zn1 Zn 0.1240 0.1240 0.1240 1
Mo1 Mo 0.2500 0.2500 0.7500 1
Au1 Au 0.0000 0.0000 0.5000 1
```

Calculated values
Density, Mg/m³: 10.8
Volume, Å³/cell: 340
E_form, eV/atom: 0.2069
Total magnetic moment, μB/f.u.: 0.001


[3]
A plane-wave DFT calculation with SCAN was carried out for a crystal of Ca3LaS relaxed with PBEsol.

The structure in CIF format:
```
data_Ca3LaS
_symmetry_space_group_name_H-M 'P m -3 m'
_symmetry_Int_Tables_number 221
_symmetry_space_group_name_Hall '-P 4 2 3'
_cell_length_a 5.5755
_cell_length_b 5.5755
_cell_length_c 5.5755
_cell_angle_alpha 90.00
_cell_angle_beta 90.00
_cell_angle_gamma 90.00
loop_
_atom_site_label
_atom_site_type_symbol
_atom_site_fract_x
_atom_site_fract_y
_atom_site_fract_z
_atom_site_occupancy
Ca1 Ca 0.0000 0.0000 0.5000 1
La1 La 0.0000 0.0000 0.0000 1
S1 S 0.5000 0.5000 0.5000 1
```

Calculated values
Density, Mg/m³: 2.8
Volume, Å³/cell: 173
Formation energy (no corrections), kJ/mol of formula units: 460
Total magnetic moment, μB/f.u.: 1.581


[4]
A plane-wave DFT calculation with SCAN was carried out for a crystal of GeBrNF2 relaxed with PBEsol.

The structure in CIF format:
```
data_GeBrNF2
_symmetry_space_group_name_H-M 'P 4/m m m'
_symmetry_Int_Tables_number 123
_symmetry_space_group_name_Hall '-P 4 2'
_cell_length_a 4.7183
_cell_length_b 4.7183
_cell_length_c 3.6228
_cell_angle_alpha 90.00
_cell_angle_beta 90.00
_cell_angle_gamma 90.00
loop_
_atom_site_label
_atom_site_type_symbol
_atom_site_fract_x
_atom_site_fract_y
_atom_site_fract_z
_atom_site_occupancy
Ge1 Ge 0.0000 0.0000 0.0000 1
Br1 Br 0.5000 0.5000 0.5000 1
N1 N 0.5000 0.5000 0.0000 1
F1 F 0.0000 0.5000 0.5000 1
```

Calculated values
Density, Mg/m³: 4.2
Volume, Å³/cell: 81
Formation energy (no corrections), kJ/mol of formula units: 294
Total magnetic moment, μB/f.u.: 0.000


[5]
A plane-wave DFT calculation with SCAN was carried out for a crystal of IrRu2Rh relaxed with PBEsol.

The structure in CIF format:
```
data_IrRu2Rh
_symmetry_space_group_name_H-M 'P m m 2'
_symmetry_Int_Tables_number 25
_symmetry_space_group_name_Hall 'P 2 -2'
_cell_length_a 2.6716
_cell_length_b 3.7771
_cell_length_c 5.3605
_cell_angle_alpha 90.00
_cell_angle_beta 90.00
_cell_angle_gamma 90.00
loop_
_atom_site_label
_atom_site_type_symbol
_atom_site_fract_x
_atom_site_fract_y
_atom_site_fract_z
_atom_site_occupancy
Ir1 Ir 0.0000 0.0000 0.0000 1
Ru1 Ru 0.0000 0.0000 0.5055 1
Ru2 Ru 0.5000 0.5000 0.7499 1
Rh1 Rh 0.5000 0.5000 0.2556 1
```

Calculated values
Energy above the most stable polymorph in this dataset, eV per atom: 0.010
Density, Mg/m³: 15.3
Volume, Å³/cell: 54
E_form, eV/atom: 0.0052
Total magnetic moment, μB/f.u.: 0.000


[6]
A plane-wave DFT calculation with SCAN was carried out for a crystal of MnTc2Te relaxed with PBEsol.

The structure in CIF format:
```
data_MnTc2Te
_symmetry_space_group_name_H-M 'C 1 m 1'
_symmetry_Int_Tables_number 8
_symmetry_space_group_name_Hall 'C -2y'
_cell_length_a 9.1396
_cell_length_b 3.1053
_cell_length_c 4.4763
_cell_angle_alpha 90.00
_cell_angle_beta 108.01
_cell_angle_gamma 90.00
loop_
_atom_site_label
_atom_site_type_symbol
_atom_site_fract_x
_atom_site_fract_y
_atom_site_fract_z
_atom_site_occupancy
Mn1 Mn 0.0000 0.0000 0.0000 1
Tc1 Tc 0.0034 0.5000 0.5203 1
Tc2 Tc 0.2642 0.0000 0.8860 1
Te1 Te 0.2528 0.5000 0.3519 1
```

Calculated values
Density, Mg/m³: 10.4
Volume, Å³/cell: 121
Formation energy (no corrections), kJ/mol of formula units: 52
Total magnetic moment, μB/f.u.: 2.907